Record 1
VASP calculation (GGA-PBE) on Ag15Te after structural relaxation.

**Crystal system**: monoclinic
**Distance to the lowest polymorph of the same formula**: 0.015 eV/atom

a b c (Å): 5.8002 4.1636 31.9211
angles (deg): 90.00 90.00 90.00
Element x y z (fractional)
Ag 0.1228 0.2500 0.2052
Ag 0.3761 0.7500 0.0688
Ag 0.6280 0.2500 0.7496
Ag 0.1256 0.2500 0.0228
Ag 0.8752 0.7500 0.1591
Ag 0.6243 0.2500 0.8399
Ag 0.3720 0.7500 0.2504
Te 0.3677 0.7500 0.3464
Ag 0.8772 0.7500 0.7948
Te 0.6323 0.2500 0.6536
Ag 0.6239 0.2500 0.9312
Ag 0.8737 0.7500 0.8861
Ag 0.8683 0.7500 0.3417
Ag 0.6250 0.2500 0.2052
Ag 0.3757 0.7500 0.1601
Ag 0.1263 0.2500 0.1139
Ag 0.3750 0.7500 0.7948
Ag 0.8809 0.7500 0.7024
Ag 0.3747 0.7500 0.9774
Ag 0.1282 0.2500 0.7495
Ag 0.8744 0.7500 0.9772
Ag 0.8718 0.7500 0.2505
Ag 0.6263 0.2500 0.1137
Ag 0.3794 0.7500 0.7025
Ag 0.1237 0.2500 0.9318
Ag 0.8763 0.7500 0.0682
Ag 0.1248 0.2500 0.8409
Ag 0.1191 0.2500 0.2976
Ag 0.3737 0.7500 0.8863
Ag 0.1317 0.2500 0.6583
Ag 0.6253 0.2500 0.0226
Ag 0.6206 0.2500 0.2975

Record 2
VASP calculation (GGA-PBE) on Ag17Te after structural relaxation.

**Energy**: -2.81 eV per atom
**Crystal system**: trigonal

a b c (Å): 5.8222 5.8223 25.9430
angles (deg): 90.00 90.00 60.01
Element x y z (fractional)
Ag 0.3333 0.3334 0.3143
Ag 0.3333 0.8334 0.8705
Ag 0.0000 0.0000 0.7770
Ag 0.3342 0.8329 0.3152
Ag 0.9985 0.5008 0.2218
Ag 0.0000 0.5000 0.5000
Ag 0.5000 0.0000 0.5000
Ag 0.1671 0.1671 0.6848
Ag 0.8332 0.3335 0.8705
Ag 0.5008 0.5008 0.2218
Ag 0.1667 0.1667 0.1295
Ag 0.3333 0.3333 0.5919
Ag 0.6658 0.1671 0.6848
Ag 0.1671 0.6657 0.6848
Ag 0.1670 0.6660 0.4072
Te 0.3333 0.3334 0.8936
Ag 0.3340 0.8330 0.5928
Ag 0.0000 0.0000 0.2230
Ag 0.8330 0.3339 0.5928
Ag 0.5008 0.9985 0.2218
Ag 0.5000 0.5000 0.5000
Ag 0.8333 0.8334 0.8705
Ag 0.6667 0.6666 0.6857
Ag 0.8329 0.3342 0.3152
Ag 0.6667 0.1667 0.1295
Ag 0.8329 0.8329 0.3152
Te 0.6667 0.6667 0.1065
Ag 0.1670 0.1670 0.4072
Ag 0.0000 0.0000 0.5000
Ag 0.6667 0.6667 0.4081
Ag 0.1667 0.6666 0.1295
Ag 0.0015 0.4992 0.7782
Ag 0.4992 0.0014 0.7782
Ag 0.8330 0.8329 0.5928
Ag 0.4992 0.4992 0.7782
Ag 0.6660 0.1670 0.4072